(1)
Material: InSi2Ni
Method: DFT, meta-GGA SCAN
State: single point on PBEsol structure

The structure in CIF format:
```
data_InSi2Ni
_symmetry_space_group_name_H-M 'P 4/m m m'
_symmetry_Int_Tables_number 123
_symmetry_space_group_name_Hall '-P 4 2'
_cell_length_a 3.6607
_cell_length_b 3.6607
_cell_length_c 4.6171
_cell_angle_alpha 90.00
_cell_angle_beta 90.00
_cell_angle_gamma 90.00
loop_
_atom_site_label
_atom_site_fract_x
_atom_site_fract_y
_atom_site_fract_z
In1 0.0000 0.0000 0.0000
Si1 0.0000 0.5000 0.5000
Ni1 0.5000 0.5000 0.0000
```

## Properties
uncorrected formation energy: 0.4725 eV/atom
E_tot: -16.925 eV/atom
total moment: 0.0 μB/f.u.

(2)
Material: InSi2Ni
Method: DFT, meta-GGA SCAN
State: single point on PBEsol structure

The structure in CIF format:
```
data_InSi2Ni
_symmetry_space_group_name_H-M 'F -4 3 m'
_symmetry_Int_Tables_number 216
_symmetry_space_group_name_Hall 'F -4 2 3'
_cell_length_a 6.2858
_cell_length_b 6.2858
_cell_length_c 6.2858
_cell_angle_alpha 90.00
_cell_angle_beta 90.00
_cell_angle_gamma 90.00
loop_
_atom_site_label
_atom_site_fract_x
_atom_site_fract_y
_atom_site_fract_z
In1 0.0000 0.0000 0.0000
Si1 0.0000 0.0000 0.5000
Si2 0.2500 0.2500 0.7500
Ni1 0.2500 0.2500 0.2500
```

## Properties
uncorrected formation energy: 0.5690 eV/atom
E_tot: -16.829 eV/atom
total moment: 0.0 μB/f.u.

(3)
Material: InSiNi6
Method: DFT, meta-GGA SCAN
State: single point on PBEsol structure

The structure in CIF format:
```
data_InSiNi6
_symmetry_space_group_name_H-M 'C m m m'
_symmetry_Int_Tables_number 65
_symmetry_space_group_name_Hall '-C 2 2'
_cell_length_a 7.0378
_cell_length_b 10.1886
_cell_length_c 10.1762
_cell_angle_alpha 90.00
_cell_angle_beta 90.00
_cell_angle_gamma 90.00
loop_
_atom_site_label
_atom_site_fract_x
_atom_site_fract_y
_atom_site_fract_z
In1 0.0000 0.0000 0.2488
In2 0.0000 0.2413 0.5000
Si1 0.0000 0.2422 0.0000
Si2 0.0000 0.5000 0.2447
Ni1 0.0000 0.0000 0.0000
Ni2 0.0000 0.0000 0.5000
Ni3 0.0000 0.2523 0.2357
Ni4 0.0000 0.5000 0.0000
Ni5 0.0000 0.5000 0.5000
Ni6 0.2328 0.3779 0.3655
Ni7 0.2399 0.3725 0.1180
```

## Properties
uncorrected formation energy: -0.2119 eV/atom
E_tot: -17.767 eV/atom
total moment: 1.3 μB/f.u.